1.
Below is a relaxed PrY4Th3 crystal, with properties calculated at the PBE level.

Cell lengths 8.007, 8.007, 6.221 Å; angles 105.07, 105.07, 126.54 degrees
Fractional coordinates of all 8 atoms:
Pr: 0.000 0.000 0.000
Y: 0.253 0.747 0.000
Y: 0.375 0.625 0.500
Y: 0.625 0.375 0.500
Y: 0.747 0.253 0.000
Th: 0.122 0.878 0.500
Th: 0.500 0.500 0.000
Th: 0.878 0.122 0.500

raw total energy = -6.5559 eV per atom
size of the total moment = 0.00 μB/cell
formation energy = 0.06 eV/atom
DOS at the Fermi energy = 12.82 states/eV per cell

---

2.
Below is a relaxed PrY6Th crystal, with properties calculated at the PBE level.

Cell lengths 5.074, 5.074, 10.173 Å; angles 90.00, 90.00, 90.00 degrees
Fractional coordinates of all 8 atoms:
Pr: 0.000 0.000 0.000
Y: 0.000 0.500 0.255
Y: 0.000 0.500 0.745
Y: 0.500 0.000 0.255
Y: 0.500 0.000 0.745
Y: 0.500 0.500 0.000
Y: 0.500 0.500 0.500
Th: 0.000 0.000 0.500

distance to the lowest polymorph of the same formula = 0 meV per atom
raw total energy = -6.3424 eV per atom
size of the total moment = 0.00 μB/cell
formation energy = 0.03 eV/atom
DOS at the Fermi energy = 12.62 states/eV per cell

---

3.
Below is a relaxed Pr2Y6Th3 crystal, with properties calculated at the PBE level.

Cell lengths 6.324, 6.324, 11.369 Å; angles 93.32, 93.32, 123.05 degrees
Fractional coordinates of all 11 atoms:
Pr: 0.145 0.855 0.000
Pr: 0.855 0.145 0.000
Y: 0.102 0.102 0.268
Y: 0.247 0.568 0.759
Y: 0.432 0.753 0.241
Y: 0.568 0.247 0.759
Y: 0.753 0.432 0.241
Y: 0.898 0.898 0.732
Th: 0.173 0.827 0.500
Th: 0.500 0.500 0.500
Th: 0.827 0.173 0.500

raw total energy = -6.2607 eV per atom
size of the total moment = 0.00 μB/cell
formation energy = 0.16 eV/atom
DOS at the Fermi energy = 16.60 states/eV per cell

---

4.
Below is a relaxed Pr6Y4Th crystal, with properties calculated at the PBE level.

Cell lengths 8.870, 8.870, 9.699 Å; angles 90.00, 90.00, 90.00 degrees
Fractional coordinates of all 22 atoms:
Pr: 0.000 0.000 0.170
Pr: 0.000 0.000 0.830
Pr: 0.146 0.352 0.000
Pr: 0.148 0.354 0.500
Pr: 0.352 0.854 0.000
Pr: 0.354 0.852 0.500
Pr: 0.500 0.500 0.330
Pr: 0.500 0.500 0.670
Pr: 0.646 0.148 0.500
Pr: 0.648 0.146 0.000
Pr: 0.852 0.646 0.500
Pr: 0.854 0.648 0.000
Y: 0.150 0.650 0.250
Y: 0.150 0.650 0.750
Y: 0.350 0.150 0.250
Y: 0.350 0.150 0.750
Y: 0.650 0.850 0.250
Y: 0.650 0.850 0.750
Y: 0.850 0.350 0.250
Y: 0.850 0.350 0.750
Th: 0.000 0.000 0.500
Th: 0.500 0.500 0.000

raw total energy = -5.4686 eV per atom
size of the total moment = 0.00 μB/cell
formation energy = 0.16 eV/atom
DOS at the Fermi energy = 35.41 states/eV per cell

---

5.
Below is a relaxed PrYTh crystal, with properties calculated at the PBE level.

Cell lengths 8.078, 8.078, 8.078 Å; angles 154.03, 154.03, 37.05 degrees
Fractional coordinates of all 3 atoms:
Pr: 0.000 0.000 0.000
Y: 0.318 0.318 0.000
Th: 0.661 0.661 0.000

distance to the lowest polymorph of the same formula = 10 meV per atom
raw total energy = -6.1874 eV per atom
size of the total moment = 0.00 μB/cell
formation energy = 0.03 eV/atom
DOS at the Fermi energy = 4.17 states/eV per cell

---

6.
Below is a relaxed Pr2Y5Th4 crystal, with properties calculated at the PBE level.

Cell lengths 12.351, 12.351, 8.641 Å; angles 94.36, 94.36, 16.41 degrees
Fractional coordinates of all 11 atoms:
Pr: 0.225 0.225 0.324
Pr: 0.775 0.775 0.676
Y: 0.000 0.000 0.500
Y: 0.317 0.317 0.029
Y: 0.371 0.371 0.456
Y: 0.629 0.629 0.544
Y: 0.683 0.683 0.971
Th: 0.084 0.084 0.184
Th: 0.456 0.456 0.149
Th: 0.544 0.544 0.851
Th: 0.916 0.916 0.816

raw total energy = -6.3788 eV per atom
size of the total moment = 0.00 μB/cell
formation energy = 0.13 eV/atom
DOS at the Fermi energy = 18.57 states/eV per cell